Model A:
Er2ThTl after structural relaxation, computed with PBE.

Cell: 3.5888 3.5888 8.9869 Å, 90.00 90.00 90.00°
Element x y z (fractional)
Th: 0.5000 0.5000 0.5000
Tl: 0.5000 0.5000 0.0000
Er: 0.0000 0.0000 0.2338
Er: 0.0000 0.0000 0.7662

Values from the calculation:
As for the total magnetic moment: 0.00 μB/cell.

Model B:
Er2ThTl after structural relaxation, computed with PBE.

Cell: 4.7618 4.9152 4.9152 Å, 90.00 90.00 90.00°
Element x y z (fractional)
Er: 0.0000 0.0000 0.5000
Th: 0.5000 0.5000 0.5000
Tl: 0.5000 0.0000 0.0000
Er: 0.0000 0.5000 0.0000

Values from the calculation:
As for the total magnetic moment: 0.00 μB/cell.

model A ends up most stable, edging out the next structure by 0.074 eV/atom.

Model A:
ErTh2Tl3 after structural relaxation, computed with PBE.

Cell: 6.4814 7.5013 7.5013 Å, 84.81 90.00 90.00°
Element x y z (fractional)
Tl: 0.7500 0.5524 0.5524
Th: 0.2500 0.8993 0.5755
Th: 0.7500 0.1007 0.4245
Tl: 0.5000 0.8015 0.1985
Tl: 0.5000 0.1985 0.8015
Th: 0.7500 0.4245 0.1007
Tl: 0.2500 0.4476 0.4476
Th: 0.2500 0.5755 0.8993
Er: 0.2500 0.1639 0.1639
Tl: 0.0000 0.8015 0.1985
Er: 0.7500 0.8361 0.8361
Tl: 0.0000 0.1985 0.8015

Values from the calculation:
As for the total magnetic moment: 0.00 μB/cell.

Model B:
ErTh2Tl3 after structural relaxation, computed with PBE.

Cell: 3.5693 3.5693 13.3664 Å, 90.00 90.00 90.00°
Site moments in Bohr magnetons follow the coordinates.
Element x y z (fractional)
Tl: 0.0000 0.0000 0.3436  0.00
Tl: 0.0000 0.0000 0.6564  0.00
Th: 0.5000 0.5000 0.8284  0.00
Th: 0.5000 0.5000 0.1716  0.00
Tl: 0.0000 0.0000 0.0000  0.00
Er: 0.5000 0.5000 0.5000  0.07

Values from the calculation:
As for the total magnetic moment: 0.08 μB/cell.

model B ends up most stable, edging out the next structure by 0.197 eV/atom.

Model A:
Er3Tm5Th3 after structural relaxation, computed with PBE.

Cell: 3.4062 11.0600 11.0601 Å, 120.00 90.00 90.00°
Element x y z (fractional)
Th: 0.0000 0.4050 0.4050
Tm: 0.5000 0.3333 0.6667
Er: 0.5000 0.0000 0.8396
Th: 0.0000 0.0000 0.5950
Er: 0.5000 0.8396 0.0000
Tm: 0.5000 0.6599 0.6599
Th: 0.0000 0.5950 0.0000
Tm: 0.5000 0.6667 0.3333
Tm: 0.5000 0.0000 0.3401
Er: 0.5000 0.1604 0.1604
Tm: 0.5000 0.3401 0.0000

Values from the calculation:
As for the total magnetic moment: 0.00 μB/cell.

Model B:
Er3Tm5Th3 after structural relaxation, computed with PBE.

Cell: 3.3861 11.1031 11.1031 Å, 120.00 90.00 90.00°
Element x y z (fractional)
Tm: 0.5000 0.6667 0.3333
Th: 0.5000 0.0000 0.3380
Er: 0.0000 0.5920 0.0000
Tm: 0.5000 0.1604 0.1604
Tm: 0.5000 0.0000 0.8396
Th: 0.5000 0.3380 0.0000
Tm: 0.5000 0.8396 0.0000
Tm: 0.5000 0.3333 0.6667
Er: 0.0000 0.0000 0.5920
Er: 0.0000 0.4080 0.4080
Th: 0.5000 0.6620 0.6620

Values from the calculation:
As for the total magnetic moment: 0.00 μB/cell.

model B ends up most stable, edging out the next structure by 0.023 eV/atom.

Model A:
Er8TmTh2 after structural relaxation, computed with PBE.

Cell: 5.8976 8.9237 9.0970 Å, 60.63 74.39 56.72°
Element x y z (fractional)
Tm: 0.5000 0.0000 0.0000
Er: 0.7035 0.5752 0.0000
Th: 0.0000 0.3061 0.3878
Th: 0.0000 0.6939 0.6122
Er: 0.1738 0.6670 0.2330
Er: 0.8262 0.3330 0.7670
Er: 0.8262 0.0999 0.2330
Er: 0.2965 0.4248 0.0000
Er: 0.5000 0.2088 0.5823
Er: 0.5000 0.7912 0.4177
Er: 0.1738 0.9001 0.7670

Values from the calculation:
As for the total magnetic moment: 0.00 μB/cell.

Model B:
Er8TmTh2 after structural relaxation, computed with PBE.

Cell: 6.5754 6.5370 8.9002 Å, 111.55 99.23 90.00°
Element x y z (fractional)
Er: 0.5981 0.1739 0.8281
Er: 0.0958 0.4098 0.8196
Er: 0.9042 0.5902 0.1804
Th: 0.3353 0.2476 0.4951
Er: 0.4019 0.3458 0.1719
Er: 0.1841 0.8020 0.6039
Th: 0.6647 0.7524 0.5049
Er: 0.4019 0.8261 0.1719
Er: 0.5981 0.6542 0.8281
Er: 0.8159 0.1980 0.3961
Tm: 0.0000 0.0000 0.0000

Values from the calculation:
As for the total magnetic moment: 0.00 μB/cell.

model B ends up most stable, edging out the next structure by 0.015 eV/atom.

Model A:
ErTm3Th after structural relaxation, computed with PBE.

Cell: 5.2705 6.5382 11.9306 Å, 79.89 64.18 66.23°
Element x y z (fractional)
Tm: 0.1106 0.3260 0.2297
Th: 0.1425 0.7150 0.0000
Er: 0.6636 0.6727 0.5000
Er: 0.3364 0.3273 0.5000
Th: 0.8575 0.2850 0.0000
Tm: 0.4366 0.6740 0.2297
Tm: 0.5634 0.3260 0.7703
Tm: 0.7387 0.0000 0.2660
Tm: 0.8894 0.6740 0.7703
Tm: 0.2613 0.0000 0.7340

Values from the calculation:
As for the total magnetic moment: 0.00 μB/cell.

Model B:
ErTm3Th after structural relaxation, computed with PBE.

Cell: 9.9776 8.4940 8.4940 Å, 117.40 96.42 96.42°
Element x y z (fractional)
Tm: 0.8827 0.5080 0.3072
Tm: 0.0511 0.7369 0.1134
Th: 0.4559 0.7271 0.8177
Tm: 0.1771 0.0257 0.5763
Er: 0.2500 0.0101 0.9899
Er: 0.2500 0.5989 0.4011
Th: 0.0441 0.1823 0.2729
Tm: 0.4489 0.8866 0.2631
Tm: 0.1173 0.4920 0.6928
Tm: 0.5511 0.1134 0.7369
Tm: 0.9489 0.2631 0.8866
Th: 0.9559 0.8177 0.7271
Tm: 0.3229 0.4237 0.9743
Er: 0.7500 0.4011 0.5989
Er: 0.7500 0.9899 0.0101
Tm: 0.3827 0.3072 0.5080
Th: 0.5441 0.2729 0.1823
Tm: 0.8229 0.9743 0.4237
Tm: 0.6771 0.5763 0.0257
Tm: 0.6173 0.6928 0.4920

Values from the calculation:
As for the total magnetic moment: 0.00 μB/cell.

model B ends up most stable, edging out the next structure by 0.259 eV/atom.

Model A:
Er3Tm4Th after structural relaxation, computed with PBE.

Cell: 6.1758 7.1530 11.1924 Å, 90.00 90.00 90.00°
Element x y z (fractional)
Er: 0.9782 0.6237 0.7507
Tm: 0.4864 0.8741 0.7502
Er: 0.1450 0.3766 0.5000
Er: 0.4782 0.3763 0.7493
Tm: 0.1460 0.8757 0.0000
Tm: 0.1475 0.8729 0.5000
Er: 0.9782 0.6237 0.2493
Tm: 0.6460 0.1243 0.5000
Er: 0.6450 0.6234 0.0000
Th: 0.6476 0.6254 0.5000
Er: 0.4782 0.3763 0.2507
Th: 0.1476 0.3746 0.0000
Tm: 0.9864 0.1259 0.7498
Tm: 0.4864 0.8741 0.2498
Tm: 0.6475 0.1271 0.0000
Tm: 0.9864 0.1259 0.2502

Values from the calculation:
As for the total magnetic moment: 0.00 μB/cell.

Model B:
Er3Tm4Th after structural relaxation, computed with PBE.

Cell: 3.4151 6.5979 11.7188 Å, 106.40 98.38 90.00°
Element x y z (fractional)
Er: 0.1251 0.8830 0.2502
Th: 0.5000 0.0000 0.0000
Tm: 0.2595 0.7563 0.5189
Tm: 0.1246 0.3660 0.2492
Er: 0.0000 0.5000 0.0000
Tm: 0.8754 0.6340 0.7508
Tm: 0.7405 0.2437 0.4811
Er: 0.8749 0.1170 0.7498

Values from the calculation:
As for the total magnetic moment: 0.00 μB/cell.

model A ends up most stable, edging out the next structure by 0.163 eV/atom.

Model A:
Er5Tm4Th2 after structural relaxation, computed with PBE.

Cell: 3.4205 11.3937 10.8666 Å, 121.62 99.06 90.00°
Element x y z (fractional)
Tm: 0.4099 0.4099 0.8197
Er: 0.1774 0.8896 0.3549
Tm: 0.5901 0.5901 0.1803
Er: 0.5000 0.0000 0.0000
Er: 0.1774 0.4652 0.3549
Th: 0.7939 0.7939 0.5879
Er: 0.8226 0.5348 0.6451
Th: 0.2061 0.2061 0.4121
Tm: 0.0000 0.7241 0.0000
Tm: 0.0000 0.2759 0.0000
Er: 0.8226 0.1104 0.6451

Values from the calculation:
As for the total magnetic moment: 0.00 μB/cell.

Model B:
Er5Tm4Th2 after structural relaxation, computed with PBE.

Cell: 3.4996 11.1107 8.7364 Å, 91.12 90.42 89.35°
Element x y z (fractional)
Tm: 0.2531 0.2038 0.7325
Th: 0.2486 0.6386 0.5449
Tm: 0.7469 0.7962 0.2675
Er: 0.2557 0.5213 0.1805
Th: 0.7514 0.3614 0.4551
Er: 0.7692 0.9140 0.6425
Tm: 0.7905 0.2618 0.0826
Er: 0.2308 0.0860 0.3575
Er: 0.5000 0.0000 0.0000
Tm: 0.2095 0.7382 0.9174
Er: 0.7443 0.4787 0.8195

Values from the calculation:
As for the total magnetic moment: 0.00 μB/cell.

model B ends up most stable, edging out the next structure by 0.199 eV/atom.

Model A:
Er6Tm3Th after structural relaxation, computed with PBE.

Cell: 8.8834 8.8553 8.8553 Å, 116.48 90.00 90.00°
Element x y z (fractional)
Er: 0.1009 0.3065 0.1884
Tm: 0.9279 0.6794 0.9695
Er: 0.1009 0.8116 0.6935
Er: 0.7715 0.4694 0.1731
Tm: 0.4279 0.3206 0.0305
Er: 0.2715 0.5306 0.8269
Er: 0.2715 0.1731 0.4694
Er: 0.7876 0.0530 0.9470
Th: 0.5238 0.7765 0.2235
Tm: 0.4279 0.9695 0.6794
Er: 0.2876 0.9470 0.0530
Er: 0.1579 0.7178 0.2822
Tm: 0.9279 0.0305 0.3206
Er: 0.6009 0.6935 0.8116
Tm: 0.4154 0.5520 0.4480
Tm: 0.9154 0.4480 0.5520
Er: 0.7715 0.8269 0.5306
Th: 0.0238 0.2235 0.7765
Er: 0.6579 0.2822 0.7178
Er: 0.6009 0.1884 0.3065

Values from the calculation:
As for the total magnetic moment: 0.00 μB/cell.

Model B:
Er6Tm3Th after structural relaxation, computed with PBE.

Cell: 9.6758 9.6758 6.8224 Å, 44.84 44.84 60.00°
Element x y z (fractional)
Er: 0.0631 0.4002 0.7996
Tm: 0.3998 0.3998 0.8007
Er: 0.5643 0.2359 0.2995
Th: 0.8999 0.8999 0.3003
Tm: 0.6419 0.6419 0.0742
Er: 0.9003 0.5643 0.2995
Er: 0.4002 0.7371 0.7996
Tm: 0.1575 0.1575 0.5274
Er: 0.2359 0.9003 0.2995
Er: 0.7371 0.0631 0.7996

Values from the calculation:
As for the total magnetic moment: 0.00 μB/cell.

model A ends up most stable, edging out the next structure by 0.154 eV/atom.

Model A:
Er2TmTh4 after structural relaxation, computed with PBE.

Cell: 6.8347 8.9178 8.9178 Å, 78.94 67.47 67.47°
Element x y z (fractional)
Th: 0.7689 0.7600 0.2600
Th: 0.8532 0.1477 0.1459
Th: 0.1468 0.3541 0.3523
Er: 0.2773 0.9727 0.4727
Er: 0.5000 0.5000 0.5000
Th: 0.7890 0.2400 0.7400
Tm: 0.5000 0.5000 0.0000
Er: 0.5000 0.0000 0.0000
Th: 0.2110 0.7600 0.2600
Tm: 0.0000 0.5000 0.0000
Th: 0.8532 0.6459 0.6477
Th: 0.2311 0.2400 0.7400
Er: 0.7227 0.0273 0.5273
Th: 0.1468 0.8523 0.8541

Values from the calculation:
As for the total magnetic moment: 0.00 μB/cell.

Model B:
Er2TmTh4 after structural relaxation, computed with PBE.

Cell: 6.8527 6.8527 13.3658 Å, 104.08 104.08 121.76°
Element x y z (fractional)
Tm: 0.8769 0.1231 0.2500
Th: 0.7905 0.7410 0.0158
Th: 0.2590 0.2095 0.4842
Th: 0.7297 0.2294 0.9997
Er: 0.4071 0.5929 0.7500
Tm: 0.1231 0.8769 0.7500
Er: 0.2691 0.7309 0.2500
Th: 0.7410 0.7905 0.5158
Th: 0.2703 0.7706 0.0003
Th: 0.7706 0.2703 0.5003
Er: 0.5929 0.4071 0.2500
Er: 0.7309 0.2691 0.7500
Th: 0.2294 0.7297 0.4997
Th: 0.2095 0.2590 0.9842

Values from the calculation:
As for the total magnetic moment: 0.01 μB/cell.

model B ends up most stable, edging out the next structure by 0.067 eV/atom.

Model A:
Er3Tm2Th3 after structural relaxation, computed with PBE.

Cell: 4.9951 4.9843 10.6264 Å, 103.56 103.59 90.00°
Element x y z (fractional)
Th: 0.3753 0.3753 0.7506
Th: 0.6247 0.6247 0.2494
Er: 0.0000 0.5000 0.0000
Tm: 0.2501 0.7501 0.5003
Er: 0.1254 0.1254 0.2509
Er: 0.8746 0.8746 0.7491
Th: 0.5000 0.0000 0.0000
Tm: 0.7499 0.2499 0.4997

Values from the calculation:
As for the total magnetic moment: 0.00 μB/cell.

Model B:
Er3Tm2Th3 after structural relaxation, computed with PBE.

Cell: 5.9185 5.8573 8.3634 Å, 110.50 110.72 90.00°
Element x y z (fractional)
Er: 0.0000 0.0000 0.0000
Er: 0.8707 0.3704 0.7415
Th: 0.3837 0.8833 0.7674
Er: 0.1293 0.6296 0.2585
Th: 0.6163 0.1167 0.2326
Tm: 0.2541 0.2548 0.5082
Th: 0.5000 0.5000 0.0000
Tm: 0.7459 0.7452 0.4918

Values from the calculation:
As for the total magnetic moment: 0.00 μB/cell.

model A ends up most stable, edging out the next structure by 0.102 eV/atom.